Record 1
First-principles (GGA-PBE) data for a relaxed structure of FeCu2, as listed in the Open Quantum Materials Database.

Summary:
* total magnetization: 0.916 μB/atom
* E: -25.9 eV per cell
* formation energy: 0.9362 eV/atom
* space-group type: P4_2/mnm, No. 136

abc: 5.725 5.725 2.576
angles: 90.00 90.00 90.00
Element x y z (fractional)
Fe 0.000 0.000 0.000
Fe 0.500 0.500 0.500
Cu 0.232 0.232 0.500
Cu 0.268 0.732 0.000
Cu 0.732 0.268 0.000
Cu 0.768 0.768 0.500

***

Record 2
First-principles (GGA-PBE) data for a relaxed structure of Cd2TcNi, as listed in the Open Quantum Materials Database.

Summary:
* total magnetization: 0.610 μB/atom
* E: -16.0 eV per cell
* formation energy: 0.4302 eV/atom
* space-group type: F-43m, No. 216

abc: 4.529 4.529 4.529
angles: 60.00 60.00 60.00
Element x y z (fractional)
Cd 0.000 0.000 0.000
Cd 0.250 0.250 0.250
Tc 0.750 0.750 0.750
Ni 0.500 0.500 0.500

***

Record 3
First-principles (GGA-PBE) data for a relaxed structure of TbGd2Cd3Cu2Ag, as listed in the Open Quantum Materials Database.

Summary:
* total magnetization: 0.003 μB/atom
* E: -29.6 eV per cell
* formation energy: -0.3047 eV/atom
* space-group type: Amm2, No. 38

abc: 3.868 7.709 7.709
angles: 120.01 90.00 90.00
Element x y z (fractional)
Tb 0.000 0.000 0.000
Gd 0.000 0.410 0.821
Gd 0.000 0.821 0.410
Cd 0.500 0.142 0.410
Cd 0.500 0.410 0.142
Cd 0.500 0.679 0.679
Cu 0.500 0.077 0.744
Cu 0.500 0.744 0.077
Ag 0.000 0.410 0.410

***

Record 4
First-principles (GGA-PBE) data for a relaxed structure of NbCo6W, as listed in the Open Quantum Materials Database.

Summary:
* total magnetization: 0.331 μB/atom
* E: -66.4 eV per cell
* formation energy: -0.0835 eV/atom
* space-group type: Pmm2, No. 25

abc: 4.106 5.120 4.486
angles: 90.00 90.00 90.00
Element x y z (fractional)
Nb 0.000 0.000 0.000
Co 0.000 0.251 0.504
Co 0.000 0.500 0.024
Co 0.000 0.749 0.504
Co 0.500 0.000 0.647
Co 0.500 0.258 0.182
Co 0.500 0.742 0.182
W 0.500 0.500 0.684

***

Record 5
First-principles (GGA-PBE) data for a relaxed structure of DyHo2Zn3CuAu2, as listed in the Open Quantum Materials Database.

Summary:
* total magnetization: 0.001 μB/atom
* E: -33.1 eV per cell
* formation energy: -0.5883 eV/atom
* space-group type: Amm2, No. 38

abc: 3.922 7.285 7.285
angles: 120.00 90.00 90.00
Element x y z (fractional)
Dy 0.000 0.000 0.000
Ho 0.000 0.195 0.597
Ho 0.000 0.597 0.195
Zn 0.500 0.363 0.363
Zn 0.500 0.597 0.832
Zn 0.500 0.832 0.597
Cu 0.000 0.597 0.597
Au 0.500 0.264 0.931
Au 0.500 0.931 0.264

***

Record 6
First-principles (GGA-PBE) data for a relaxed structure of CoW3, as listed in the Open Quantum Materials Database.

Summary:
* total magnetization: 0.041 μB/atom
* E: -269.2 eV per cell
* formation energy: 0.2797 eV/atom
* space-group type: P6_3/mmc, No. 194

abc: 5.049 5.049 16.354
angles: 90.00 90.00 120.00
Element x y z (fractional)
Co 0.154 0.308 0.250
Co 0.154 0.846 0.250
Co 0.308 0.154 0.750
Co 0.692 0.846 0.250
Co 0.846 0.154 0.750
Co 0.846 0.692 0.750
W 0.000 0.000 0.096
W 0.000 0.000 0.404
W 0.000 0.000 0.596
W 0.000 0.000 0.904
W 0.000 0.500 0.000
W 0.000 0.500 0.500
W 0.333 0.667 0.139
W 0.333 0.667 0.361
W 0.333 0.667 0.665
W 0.333 0.667 0.835
W 0.500 0.000 0.000
W 0.500 0.000 0.500
W 0.500 0.500 0.000
W 0.500 0.500 0.500
W 0.667 0.333 0.165
W 0.667 0.333 0.335
W 0.667 0.333 0.639
W 0.667 0.333 0.861

***

Record 7
First-principles (GGA-PBE) data for a relaxed structure of LaPr2Sn3Pd2Pt, as listed in the Open Quantum Materials Database.

Summary:
* total magnetization: 0.000 μB/atom
* E: -51.5 eV per cell
* space-group type: Amm2, No. 38

abc: 4.176 7.698 7.698
angles: 119.96 90.00 90.00
Element x y z (fractional)
La 0.000 0.000 0.000
Pr 0.000 0.178 0.588
Pr 0.000 0.588 0.178
Sn 0.500 0.339 0.339
Sn 0.500 0.586 0.838
Sn 0.500 0.838 0.586
Pd 0.500 0.253 0.921
Pd 0.500 0.921 0.253
Pt 0.000 0.588 0.588

***

Record 8
First-principles (GGA-PBE) data for a relaxed structure of Gd2Si4IrPt, as listed in the Open Quantum Materials Database.

Summary:
* total magnetization: 0.001 μB/atom
* E: -53.7 eV per cell
* space-group type: Amm2, No. 38

abc: 4.228 8.602 8.602
angles: 28.04 90.00 90.00
Element x y z (fractional)
Gd 0.000 0.000 0.000
Gd 0.500 0.209 0.209
Si 0.000 0.357 0.357
Si 0.000 0.638 0.638
Si 0.500 0.567 0.567
Si 0.500 0.855 0.855
Ir 0.500 0.426 0.426
Pt 0.000 0.780 0.780

***

Record 9
First-principles (GGA-PBE) data for a relaxed structure of RbLiAu, as listed in the Open Quantum Materials Database.

Summary:
* E: -6.1 eV per cell
* space-group type: F-43m, No. 216

abc: 5.351 5.351 5.351
angles: 60.00 60.00 60.00
Element x y z (fractional)
Rb 0.000 0.000 0.000
Li 0.500 0.500 0.500
Au 0.750 0.750 0.750

***

Record 10
First-principles (GGA-PBE) data for a relaxed structure of ErTmAg2Se4, as listed in the Open Quantum Materials Database.

Summary:
* total magnetization: 0.000 μB/atom
* E: -38.3 eV per cell
* space-group type: Cmm2, No. 35

abc: 6.723 6.723 4.271
angles: 90.00 90.00 90.03
Element x y z (fractional)
Er 0.000 0.000 0.000
Tm 0.500 0.500 0.591
Ag 0.000 0.500 0.795
Ag 0.500 0.000 0.795
Se 0.202 0.202 0.511
Se 0.300 0.700 0.080
Se 0.700 0.300 0.080
Se 0.798 0.798 0.511

***

Record 11
First-principles (GGA-PBE) data for a relaxed structure of DyLu3C2Se2, as listed in the Open Quantum Materials Database.

Summary:
* total magnetization: 0.001 μB/atom
* E: -53.1 eV per cell
* space-group type: P3m1, No. 156

abc: 3.688 3.688 13.007
angles: 90.00 90.00 120.00
Element x y z (fractional)
Dy 0.000 0.000 0.000
Lu 0.000 0.000 0.696
Lu 0.667 0.333 0.201
Lu 0.667 0.333 0.501
C 0.333 0.667 0.103
C 0.333 0.667 0.598
Se 0.000 0.000 0.350
Se 0.667 0.333 0.844

***

Record 12
First-principles (GGA-PBE) data for a relaxed structure of HfZnCoOs, as listed in the Open Quantum Materials Database.

Summary:
* total magnetization: 0.008 μB/atom
* E: -30.2 eV per cell
* formation energy: -0.1706 eV/atom
* space-group type: F-43m, No. 216

abc: 4.369 4.369 4.369
angles: 60.00 60.00 60.00
Element x y z (fractional)
Hf 0.000 0.000 0.000
Zn 0.500 0.500 0.500
Co 0.750 0.750 0.750
Os 0.250 0.250 0.250

***

Record 13
First-principles (GGA-PBE) data for a relaxed structure of Sm4CI3F2, as listed in the Open Quantum Materials Database.

Summary:
* total magnetization: 0.001 μB/atom
* E: -53.9 eV per cell
* space-group type: C2/m, No. 12

abc: 9.110 9.110 8.485
angles: 96.02 96.02 24.61
Element x y z (fractional)
Sm 0.002 0.002 0.304
Sm 0.363 0.363 0.433
Sm 0.637 0.637 0.567
Sm 0.998 0.998 0.696
C 0.500 0.500 0.500
I 0.180 0.180 0.296
I 0.500 0.500 0.000
I 0.820 0.820 0.704
F 0.134 0.134 0.729
F 0.866 0.866 0.271

***

Record 14
First-principles (GGA-PBE) data for a relaxed structure of NbAlCo, as listed in the Open Quantum Materials Database.

Summary:
* total magnetization: 0.001 μB/atom
* E: -87.9 eV per cell
* space-group type: Pnma, No. 62

abc: 6.105 3.887 7.332
angles: 90.00 90.00 90.00
Element x y z (fractional)
Nb 0.019 0.250 0.174
Nb 0.481 0.750 0.674
Nb 0.519 0.250 0.326
Nb 0.981 0.750 0.826
Al 0.142 0.250 0.566
Al 0.358 0.750 0.066
Al 0.642 0.250 0.934
Al 0.858 0.750 0.434
Co 0.235 0.250 0.890
Co 0.265 0.750 0.390
Co 0.735 0.250 0.610
Co 0.765 0.750 0.110

***

Record 15
First-principles (GGA-PBE) data for a relaxed structure of LiNdPt4, as listed in the Open Quantum Materials Database.

Summary:
* total magnetization: 0.002 μB/atom
* E: -36.1 eV per cell
* space-group type: F-43m, No. 216

abc: 5.393 5.393 5.393
angles: 60.00 60.00 60.00
Element x y z (fractional)
Li 0.000 0.000 0.000
Nd 0.750 0.750 0.750
Pt 0.374 0.374 0.374
Pt 0.374 0.374 0.877
Pt 0.374 0.877 0.374
Pt 0.877 0.374 0.374

***

Record 16
First-principles (GGA-PBE) data for a relaxed structure of Tm3Al3GePd2, as listed in the Open Quantum Materials Database.

Summary:
* total magnetization: 0.000 μB/atom
* E: -46.5 eV per cell
* space-group type: P-62m, No. 189

abc: 7.374 7.374 3.790
angles: 90.00 90.00 120.00
Element x y z (fractional)
Tm 0.000 0.400 0.000
Tm 0.400 0.000 0.000
Tm 0.600 0.600 0.000
Al 0.000 0.737 0.500
Al 0.263 0.263 0.500
Al 0.737 0.000 0.500
Ge 0.000 0.000 0.000
Pd 0.333 0.667 0.500
Pd 0.667 0.333 0.500

***

Record 17
First-principles (GGA-PBE) data for a relaxed structure of TbGdTe2F2, as listed in the Open Quantum Materials Database.

Summary:
* total magnetization: 0.000 μB/atom
* E: -34.6 eV per cell
* space-group type: P4mm, No. 99

abc: 4.047 4.047 7.385
angles: 90.00 90.00 90.00
Element x y z (fractional)
Tb 0.000 0.000 0.000
Gd 0.500 0.500 0.396
Te 0.000 0.000 0.561
Te 0.500 0.500 0.836
F 0.000 0.500 0.197
F 0.500 0.000 0.197

***

Record 18
First-principles (GGA-PBE) data for a relaxed structure of Co3N, as listed in the Open Quantum Materials Database.

Summary:
* total magnetization: 0.005 μB/atom
* E: -25.1 eV per cell
* space-group type: Fm-3m, No. 225

abc: 3.827 3.827 3.827
angles: 60.00 60.00 60.00
Element x y z (fractional)
Co 0.000 0.000 0.000
Co 0.250 0.250 0.250
Co 0.750 0.750 0.750
N 0.500 0.500 0.500

***

Record 19
First-principles (GGA-PBE) data for a relaxed structure of LiTlFeW, as listed in the Open Quantum Materials Database.

Summary:
* total magnetization: 0.002 μB/atom
* E: -23.8 eV per cell
* space-group type: F-43m, No. 216

abc: 4.325 4.325 4.325
angles: 60.00 60.00 60.00
Element x y z (fractional)
Li 0.000 0.000 0.000
Tl 0.250 0.250 0.250
Fe 0.500 0.500 0.500
W 0.750 0.750 0.750

***

Record 20
First-principles (GGA-PBE) data for a relaxed structure of ScBeTcMo, as listed in the Open Quantum Materials Database.

Summary:
* total magnetization: 0.001 μB/atom
* E: -31.5 eV per cell
* space-group type: F-43m, No. 216

abc: 4.390 4.390 4.390
angles: 60.00 60.00 60.00
Element x y z (fractional)
Sc 0.000 0.000 0.000
Be 0.250 0.250 0.250
Tc 0.750 0.750 0.750
Mo 0.500 0.500 0.500